Record 1
Computed, not measured: a geometry-optimized LiZnCu2 structure at the GGA-PBE level of DFT.

POSCAR file:
```
LiZnCu2
1.0
4.295 0.000 0.000
0.000 2.644 -0.238
0.000 0.402 4.463
Cu Zn Li
2 1 1
Direct
0.500 0.125 0.299
0.000 0.125 0.953
0.500 0.625 0.802
0.000 0.625 0.446
```

Density of states at the Fermi level ... 0.32 states/eV/atom
Total magnetization ... 0.0 μB/f.u.
DFT formation energy ... -0.09 eV per atom



Record 2
Computed, not measured: a geometry-optimized BaCd2InHg5 structure at the GGA-PBE level of DFT.

POSCAR file:
```
BaCd2InHg5
1.0
5.599 0.000 0.000
0.000 5.599 0.000
0.000 0.000 8.556
Hg Cd In Ba
5 2 1 1
Direct
0.000 0.500 0.233
0.000 0.500 0.767
0.500 0.500 0.500
0.500 0.000 0.233
0.500 0.000 0.767
0.500 0.500 0.161
0.500 0.500 0.839
0.000 0.000 0.000
0.000 0.000 0.500
```

Density of states at the Fermi level ... 0.65 states/eV/atom
Total magnetization ... 0.0 μB/f.u.
DFT formation energy ... -0.11 eV per atom



Record 3
Computed, not measured: a geometry-optimized LuAlCo structure at the GGA-PBE level of DFT.

POSCAR file:
```
LuAlCo
1.0
3.487 0.000 0.000
0.000 4.225 0.000
0.000 -2.113 3.659
Lu Co Al
1 1 1
Direct
0.667 0.333 0.667
0.167 0.667 0.333
0.167 0.000 0.000
```

Density of states at the Fermi level ... 0.80 states/eV/atom
Total magnetization ... 0.6 μB/f.u.
DFT formation energy ... -0.33 eV per atom



DFT formation energy of number 2 (BaCd2InHg5)? -0.11 eV per atom



DFT formation energy of number 1 (LiZnCu2)? -0.09 eV per atom